Record 1
A geometry-optimized CeDy4Th3 structure. Source: the Alexandria database, functional PBE.

Cell and atoms, written as CIF:
```
data_CeDy4Th3
_space_group_name_H-M_alt 'P 1'
_space_group_IT_number 1
_cell_length_a 25.741
_cell_length_b 3.369
_cell_length_c 5.950
_cell_angle_alpha 90.00
_cell_angle_beta 95.04
_cell_angle_gamma 90.00
loop_
_space_group_symop_operation_xyz
'x,y,z'
loop_
_atom_site_label
_atom_site_fract_x
_atom_site_fract_y
_atom_site_fract_z
Ce1 0.000 0.000 0.000
Ce2 0.500 0.500 0.000
Dy1 0.104 0.500 0.215
Dy2 0.219 0.000 0.234
Dy3 0.281 0.500 0.766
Dy4 0.396 0.000 0.785
Dy5 0.604 0.000 0.215
Dy6 0.719 0.500 0.234
Dy7 0.781 0.000 0.766
Dy8 0.896 0.500 0.785
Th1 0.000 0.500 0.500
Th2 0.148 0.500 0.730
Th3 0.352 0.000 0.270
Th4 0.500 0.000 0.500
Th5 0.648 0.000 0.730
Th6 0.852 0.500 0.270
```

Summary:
**DOS(E_F)**: 24.178 states/eV/cell
**Energy relative to the elements**: 0.30 eV per atom
**Calculated total energy**: -5.53 eV/atom
**Space group**: C2/m
**Crystal system**: monoclinic



Record 2
A geometry-optimized Ce2Dy7Th2 structure. Source: the Alexandria database, functional PBE.

Cell and atoms, written as CIF:
```
data_Ce2Dy7Th2
_space_group_name_H-M_alt 'P 1'
_space_group_IT_number 1
_cell_length_a 6.100
_cell_length_b 6.100
_cell_length_c 10.180
_cell_angle_alpha 94.47
_cell_angle_beta 94.47
_cell_angle_gamma 110.07
loop_
_space_group_symop_operation_xyz
'x,y,z'
loop_
_atom_site_label
_atom_site_fract_x
_atom_site_fract_y
_atom_site_fract_z
Ce1 0.230 0.770 0.000
Ce2 0.770 0.230 0.000
Dy1 0.119 0.694 0.648
Dy2 0.228 0.228 0.816
Dy3 0.306 0.881 0.352
Dy4 0.500 0.500 0.500
Dy5 0.694 0.119 0.648
Dy6 0.772 0.772 0.184
Dy7 0.881 0.306 0.352
Th1 0.293 0.293 0.154
Th2 0.707 0.707 0.846
```

Summary:
**DOS(E_F)**: 20.947 states/eV/cell
**Energy relative to the elements**: 0.15 eV per atom
**Calculated total energy**: -5.20 eV/atom
**Space group**: C2/m
**Crystal system**: monoclinic



Record 3
A geometry-optimized Ce2Dy2Th5 structure. Source: the Alexandria database, functional PBE.

Cell and atoms, written as CIF:
```
data_Ce2Dy2Th5
_space_group_name_H-M_alt 'P 1'
_space_group_IT_number 1
_cell_length_a 6.120
_cell_length_b 6.120
_cell_length_c 10.610
_cell_angle_alpha 107.15
_cell_angle_beta 107.15
_cell_angle_gamma 47.98
loop_
_space_group_symop_operation_xyz
'x,y,z'
loop_
_atom_site_label
_atom_site_fract_x
_atom_site_fract_y
_atom_site_fract_z
Ce1 0.164 0.164 0.053
Ce2 0.836 0.836 0.947
Dy1 0.164 0.164 0.385
Dy2 0.836 0.836 0.615
Th1 0.169 0.169 0.729
Th2 0.497 0.497 0.164
Th3 0.500 0.500 0.500
Th4 0.503 0.503 0.836
Th5 0.831 0.831 0.271
```

Summary:
**DOS(E_F)**: 16.118 states/eV/cell
**Energy relative to the elements**: 0.04 eV per atom
**Calculated total energy**: -6.42 eV/atom
**Space group**: C2/m
**Crystal system**: monoclinic



Record 4
A geometry-optimized CeDy5Th4 structure. Source: the Alexandria database, functional PBE.

Cell and atoms, written as CIF:
```
data_CeDy5Th4
_space_group_name_H-M_alt 'P 1'
_space_group_IT_number 1
_cell_length_a 9.365
_cell_length_b 9.365
_cell_length_c 10.000
_cell_angle_alpha 106.13
_cell_angle_beta 106.13
_cell_angle_gamma 21.93
loop_
_space_group_symop_operation_xyz
'x,y,z'
loop_
_atom_site_label
_atom_site_fract_x
_atom_site_fract_y
_atom_site_fract_z
Ce1 0.000 0.000 0.000
Dy1 0.000 0.000 0.500
Dy2 0.202 0.202 0.601
Dy3 0.400 0.400 0.194
Dy4 0.600 0.600 0.806
Dy5 0.798 0.798 0.399
Th1 0.199 0.199 0.098
Th2 0.402 0.402 0.704
Th3 0.598 0.598 0.296
Th4 0.801 0.801 0.902
```

Summary:
**DOS(E_F)**: 14.895 states/eV/cell
**Energy relative to the elements**: 0.03 eV per atom
**Calculated total energy**: -5.83 eV/atom
**Space group**: C2/m
**Crystal system**: monoclinic



Record 5
A geometry-optimized Ce2DyTh structure. Source: the Alexandria database, functional PBE.

Cell and atoms, written as CIF:
```
data_Ce2DyTh
_space_group_name_H-M_alt 'P 1'
_space_group_IT_number 1
_cell_length_a 3.481
_cell_length_b 3.481
_cell_length_c 9.880
_cell_angle_alpha 90.00
_cell_angle_beta 90.00
_cell_angle_gamma 90.00
loop_
_space_group_symop_operation_xyz
'x,y,z'
loop_
_atom_site_label
_atom_site_fract_x
_atom_site_fract_y
_atom_site_fract_z
Ce1 0.000 0.000 0.243
Ce2 0.000 0.000 0.757
Dy1 0.500 0.500 0.500
Th1 0.500 0.500 0.000
```

Summary:
**DOS(E_F)**: 8.888 states/eV/cell
**Energy relative to the elements**: 0.06 eV per atom
**Calculated total energy**: -5.91 eV/atom
**Space group**: P4/mmm
**Crystal system**: tetragonal



Record 6
A geometry-optimized CeDy2Th6 structure. Source: the Alexandria database, functional PBE.

Cell and atoms, written as CIF:
```
data_CeDy2Th6
_space_group_name_H-M_alt 'P 1'
_space_group_IT_number 1
_cell_length_a 6.147
_cell_length_b 6.147
_cell_length_c 8.723
_cell_angle_alpha 90.00
_cell_angle_beta 90.00
_cell_angle_gamma 120.17
loop_
_space_group_symop_operation_xyz
'x,y,z'
loop_
_atom_site_label
_atom_site_fract_x
_atom_site_fract_y
_atom_site_fract_z
Ce1 0.000 0.000 0.000
Dy1 0.000 0.500 0.666
Dy2 0.500 0.000 0.334
Th1 0.160 0.324 0.329
Th2 0.324 0.160 0.671
Th3 0.333 0.667 0.000
Th4 0.667 0.333 0.000
Th5 0.676 0.840 0.671
Th6 0.840 0.676 0.329
```

Summary:
**DOS(E_F)**: 19.315 states/eV/cell
**Energy relative to the elements**: 0.14 eV per atom
**Calculated total energy**: -6.49 eV/atom
**Space group**: C222
**Crystal system**: orthorhombic



Record 7
A geometry-optimized Ce3DyTh12 structure. Source: the Alexandria database, functional PBE.

Cell and atoms, written as CIF:
```
data_Ce3DyTh12
_space_group_name_H-M_alt 'P 1'
_space_group_IT_number 1
_cell_length_a 4.987
_cell_length_b 4.987
_cell_length_c 20.041
_cell_angle_alpha 90.00
_cell_angle_beta 90.00
_cell_angle_gamma 90.00
loop_
_space_group_symop_operation_xyz
'x,y,z'
loop_
_atom_site_label
_atom_site_fract_x
_atom_site_fract_y
_atom_site_fract_z
Ce1 0.000 0.000 0.000
Ce2 0.000 0.000 0.249
Ce3 0.000 0.000 0.751
Dy1 0.000 0.000 0.500
Th1 0.000 0.500 0.124
Th2 0.000 0.500 0.372
Th3 0.000 0.500 0.628
Th4 0.000 0.500 0.876
Th5 0.500 0.000 0.124
Th6 0.500 0.000 0.372
Th7 0.500 0.000 0.628
Th8 0.500 0.000 0.876
Th9 0.500 0.500 0.000
Th10 0.500 0.500 0.247
Th11 0.500 0.500 0.500
Th12 0.500 0.500 0.753
```

Summary:
**DOS(E_F)**: 28.762 states/eV/cell
**Energy relative to the elements**: 0.02 eV per atom
**Calculated total energy**: -6.94 eV/atom
**Space group**: P4/mmm
**Crystal system**: tetragonal



Record 8
A geometry-optimized Ce2Dy5Th4 structure. Source: the Alexandria database, functional PBE.

Cell and atoms, written as CIF:
```
data_Ce2Dy5Th4
_space_group_name_H-M_alt 'P 1'
_space_group_IT_number 1
_cell_length_a 3.552
_cell_length_b 8.640
_cell_length_c 11.767
_cell_angle_alpha 104.58
_cell_angle_beta 98.64
_cell_angle_gamma 90.03
loop_
_space_group_symop_operation_xyz
'x,y,z'
loop_
_atom_site_label
_atom_site_fract_x
_atom_site_fract_y
_atom_site_fract_z
Ce1 0.089 0.215 0.176
Ce2 0.911 0.785 0.824
Dy1 0.000 0.500 0.000
Dy2 0.275 0.689 0.550
Dy3 0.364 0.406 0.727
Dy4 0.636 0.594 0.273
Dy5 0.725 0.311 0.450
Th1 0.181 0.956 0.363
Th2 0.455 0.134 0.910
Th3 0.545 0.866 0.090
Th4 0.819 0.044 0.637
```

Summary:
**DOS(E_F)**: 20.129 states/eV/cell
**Energy relative to the elements**: 0.04 eV per atom
**Calculated total energy**: -5.83 eV/atom
**Space group**: P-1
**Crystal system**: triclinic